This record from Alexandria describes a relaxed CsK2VF5 crystal. The functional is PBE+U.

a = 7.329 Å, b = 7.329 Å, c = 7.329 Å
α = 146.40°, β = 127.69°, γ = 63.62°
Sites, in units of the cell vectors:
Cs 0.000 0.000 0.000
K 0.285 0.785 0.500
K 0.715 0.215 0.500
V 0.500 0.500 0.000
F 0.149 0.374 0.775
F 0.402 0.626 0.775
F 0.500 0.000 0.500
F 0.598 0.374 0.225
F 0.851 0.626 0.225

Properties
- calculated total energy (eV/f.u.) = -44.62
- size of the total moment (μB per cell) = 3.00